Record 1
InFe2Hg (meta-GGA SCAN, single point on PBEsol structure); energy of formation = 0.404 eV per atom
1.0
-2.142 -2.916 2.566
2.261 -2.486 2.896
-0.399 0.751 4.354
Fe Hg In
2 1 1
direct
0.250 0.250 0.250 Fe
0.750 0.750 0.750 Fe
0.000 0.000 0.000 Hg
0.500 0.500 0.500 In

=====

Record 2
HfZnSi2Tc (meta-GGA SCAN, single point on PBEsol structure); formation energy (no corrections) = 1028 meV per atom
1.0
-2.330 -0.436 -3.669
-2.641 -2.837 2.015
-2.696 3.435 1.304
Si Zn Hf Tc
2 1 1 1
direct
0.000 0.500 0.000 Si
0.500 0.000 0.000 Si
0.000 0.000 0.000 Zn
0.500 0.500 0.500 Hf
0.000 0.000 0.500 Tc

=====

Record 3
RbP2OsO (meta-GGA SCAN, single point on PBEsol structure); formation energy (no corrections) = 133 meV per atom
1.0
-3.117 -0.492 2.145
1.037 -4.748 0.418
2.615 0.924 4.012
P Os O Rb
2 1 1 1
direct
0.000 0.000 0.500 P
0.000 0.500 0.000 P
0.000 0.000 0.000 Os
0.500 0.000 0.000 O
0.500 0.500 0.500 Rb

=====

Record 4
ZrAlOs2 (meta-GGA SCAN, single point on PBEsol structure); energy of formation = -0.445 eV per atom
1.0
3.163 0.000 0.000
0.000 4.295 0.000
-1.581 -2.147 4.539
Os Al Zr
2 1 1
direct
0.997 0.497 0.995 Os
0.744 0.744 0.488 Os
0.263 0.263 0.525 Al
0.496 0.996 0.993 Zr

=====

Number 1: Fermi-level density of states 0.6911 states/eV/atom. Number 2: Fermi-level density of states 0.7476 states/eV/atom. Number 3: Fermi-level density of states 0.9026 states/eV/atom. Number 4: Fermi-level density of states 0.5740 states/eV/atom.